Record 1
The following is a PBEsol calculation of a relaxed structure of Ba2Cr, from Alexandria.

Computed properties:
Energy relative to the lowest polymorph listed for this composition, meV/atom: 111

Unit cell a=8.2083 b=8.2083 c=8.2083 alpha=90.00 beta=90.00 gamma=90.00
With the nearest neighbours (Å) after each atom.
Space group Fm-3m (No. 225)
Asymmetric unit:
Ba 0.2500 0.2500 0.2500  4 Cr 3.55
Cr 0.0000 0.0000 0.0000  8 Ba 3.55



Record 2
The following is a PBEsol calculation of a relaxed structure of Ba3Cr, from Alexandria.

Unit cell a=5.5871 b=5.5871 c=5.5871 alpha=90.00 beta=90.00 gamma=90.00
With the nearest neighbours (Å) after each atom.
Space group Pm-3m (No. 221)
Asymmetric unit:
Ba 0.0000 0.0000 0.5000  4 Cr 3.95, 8 Ba 3.95
Cr 0.5000 0.5000 0.5000  12 Ba 3.95



Record 3
The following is a PBEsol calculation of a relaxed structure of Ba2Cr, from Alexandria.

Computed properties:
Energy relative to the lowest polymorph listed for this composition, meV/atom: 0

Unit cell a=8.5631 b=8.5631 c=6.7883 alpha=90.00 beta=90.00 gamma=90.00
With the nearest neighbours (Å) after each atom.
Space group I4/mcm (No. 140)
Asymmetric unit:
Ba 0.1688 0.3312 0.0000  4 Cr 3.61, 2 Ba 3.92
Cr 0.0000 0.0000 0.2500  2 Cr 3.39, 8 Ba 3.61



Number 1: calculated density 3.92 g/cm³, calculated total energy -48.74 eV/cell, ΔH_f (0 K) 0.78 eV per atom. Number 2: calculated density 4.42 g/cm³, calculated total energy -14.21 eV/cell, ΔH_f (0 K) 0.62 eV per atom. Number 3: calculated density 4.36 g/cm³, calculated total energy -50.08 eV/cell, ΔH_f (0 K) 0.67 eV per atom.